Record 1
! NaCo2BRh | the Alexandria database | PBE | relaxed; values from VASP
&SYSTEM
  ibrav = 0, nat = 5, ntyp = 4
/
ATOMIC_SPECIES
Na 22.99 Na.upf
Co 58.93 Co.upf
B 10.81 B.upf
Rh 102.91 Rh.upf
CELL_PARAMETERS angstrom
4.550 0.000 0.000
0.000 4.550 0.000
0.000 0.000 5.104
ATOMIC_POSITIONS crystal
Na 0.000 0.000 0.000
Co 0.000 0.500 0.500
Co 0.500 0.000 0.500
B 0.500 0.500 0.000
Rh 0.000 0.000 0.500
! - final energy (eV per atom) = -3.982
! - calculated volume (Å³ per atom) = 21.14


Record 2
! RbHgTe2 | the Alexandria database | PBE | relaxed; values from VASP
&SYSTEM
  ibrav = 0, nat = 4, ntyp = 3
/
ATOMIC_SPECIES
Rb 85.47 Rb.upf
Hg 200.59 Hg.upf
Te 127.60 Te.upf
CELL_PARAMETERS angstrom
1.748 1.009 13.459
-1.748 1.009 13.459
0.000 -2.019 13.459
ATOMIC_POSITIONS crystal
Rb 0.000 0.000 0.000
Hg 0.500 0.500 0.500
Te 0.259 0.259 0.259
Te 0.741 0.741 0.741
! - final energy (eV per atom) = -1.916
! - calculated volume (Å³ per atom) = 35.63


Record 3
! TbGa2Ag5 | the Alexandria database | PBE | relaxed; values from VASP
&SYSTEM
  ibrav = 0, nat = 8, ntyp = 3
/
ATOMIC_SPECIES
Tb 158.93 Tb.upf
Ga 69.72 Ga.upf
Ag 107.87 Ag.upf
CELL_PARAMETERS angstrom
-1.870 3.976 5.245
1.870 -3.976 5.245
1.870 3.976 -5.245
ATOMIC_POSITIONS crystal
Tb 0.000 0.000 0.000
Ga 0.239 0.739 0.500
Ga 0.761 0.261 0.500
Ag 0.159 0.361 0.799
Ag 0.438 0.639 0.799
Ag 0.500 0.000 0.500
Ag 0.562 0.361 0.201
Ag 0.841 0.639 0.201
! - final energy (eV per atom) = -3.277
! - calculated volume (Å³ per atom) = 19.50


Record 4
! SbTe2AsF | the Alexandria database | PBE | relaxed; values from VASP
&SYSTEM
  ibrav = 0, nat = 5, ntyp = 4
/
ATOMIC_SPECIES
Sb 121.76 Sb.upf
Te 127.60 Te.upf
As 74.92 As.upf
F 19.00 F.upf
CELL_PARAMETERS angstrom
5.396 0.000 0.000
0.000 5.396 0.000
0.000 0.000 5.256
ATOMIC_POSITIONS crystal
Sb 0.000 0.000 0.000
Te 0.000 0.500 0.500
Te 0.500 0.000 0.500
As 0.000 0.000 0.500
F 0.500 0.500 0.000
! - final energy (eV per atom) = -3.007
! - offset from the most stable computed form (meV/atom) = 169.7
! - calculated volume (Å³ per atom) = 30.60


Record 5
! TaHgW2 | the Alexandria database | PBE | relaxed; values from VASP
&SYSTEM
  ibrav = 0, nat = 4, ntyp = 3
/
ATOMIC_SPECIES
Ta 180.95 Ta.upf
Hg 200.59 Hg.upf
W 183.84 W.upf
CELL_PARAMETERS angstrom
2.775 0.000 0.000
0.000 2.775 0.000
0.000 0.000 9.271
ATOMIC_POSITIONS crystal
Ta 0.000 0.000 0.000
Hg 0.000 0.000 0.500
W 0.500 0.500 0.246
W 0.500 0.500 0.754
! - final energy (eV per atom) = -8.984
! - calculated volume (Å³ per atom) = 17.84


Record 6
! MnGa2Co5 | the Alexandria database | PBE | relaxed; values from VASP
&SYSTEM
  ibrav = 0, nat = 8, ntyp = 3
/
ATOMIC_SPECIES
Mn 54.94 Mn.upf
Ga 69.72 Ga.upf
Co 58.93 Co.upf
CELL_PARAMETERS angstrom
-2.035 2.035 5.675
2.035 -2.035 5.675
2.035 2.035 -5.675
ATOMIC_POSITIONS crystal
Mn 0.000 0.000 0.000
Ga 0.250 0.250 0.000
Ga 0.750 0.750 0.000
Co 0.122 0.622 0.500
Co 0.378 0.878 0.500
Co 0.500 0.500 0.000
Co 0.622 0.122 0.500
Co 0.878 0.378 0.500
! - final energy (eV per atom) = -6.456
! - calculated volume (Å³ per atom) = 11.75